Record 1
Sm4Sb2H: optimized geometry, PBE-GGA.

The calculation puts the final energy at -5.1761 eV/atom. The crystal system is tetragonal. Its size of the total moment is 0.0 μB/f.u.

It has space group I4/mmm (No. 139), with a = 4.556 Å, b = 4.556 Å, c = 17.391 Å, α = 90.00°, β = 90.00° and γ = 90.00°. Symmetry generates all atoms from Sm at (0.000, 0.000, 0.178), Sm at (0.000, 0.500, 0.000), Sb at (0.000, 0.000, 0.362) and H at (0.000, 0.000, 0.000).

---

Record 2
YHoEr2: optimized geometry, PBE-GGA.

The calculation puts the final energy at -5.0309 eV/atom. The crystal system is trigonal. As for the calculated formation energy: 11 meV per atom. Its size of the total moment is 0.0 μB/f.u.

It has space group R3m (No. 160, hexagonal axes), with a = 3.5578 Å, b = 3.5578 Å, c = 34.0819 Å, α = 90.00°, β = 90.00° and γ = 120.00°. Symmetry generates all atoms from Y at (0.0000, 0.0000, 0.0000), Ho at (0.0000, 0.0000, 0.1658), Er at (0.0000, 0.0000, 0.5826) and Er at (0.0000, 0.0000, 0.7497).

---

Record 3
Ba3Sr12Cd: optimized geometry, PBE-GGA.

The calculation puts the final energy at -1.6820 eV/atom. The crystal system is tetragonal. As for the calculated formation energy: -3 meV per atom. Its size of the total moment is 0.0 μB/f.u.

It has space group P4/mmm (No. 123), with a = 6.115 Å, b = 6.115 Å, c = 22.900 Å, α = 90.00°, β = 90.00° and γ = 90.00°. Symmetry generates all atoms from Ba at (0.000, 0.000, 0.000), Ba at (0.000, 0.000, 0.266), Sr at (0.000, 0.500, 0.134), Sr at (0.000, 0.500, 0.401), Sr at (0.500, 0.500, 0.000), Sr at (0.500, 0.500, 0.271), Sr at (0.500, 0.500, 0.500) and Cd at (0.000, 0.000, 0.500).

---

Record 4
BeTc2Se: optimized geometry, PBE-GGA.

The calculation puts the final energy at -6.7505 eV/atom. The crystal system is monoclinic. Its size of the total moment is 0.0 μB/f.u.

It has space group C2/m (No. 12), with a = 7.778 Å, b = 2.967 Å, c = 4.892 Å, α = 90.00°, β = 103.39° and γ = 90.00°. Symmetry generates all atoms from Be at (0.000, 0.000, 0.000), Tc at (0.235, 0.500, 0.227) and Se at (0.000, 0.500, 0.500).

---

Record 5
Pm6Nd2Sc: optimized geometry, PBE-GGA.

The calculation puts the final energy at -4.7772 eV/atom. The crystal system is monoclinic. As for the calculated formation energy: 153 meV per atom. Its size of the total moment is 0.0 μB/f.u.

It has space group C2/m (No. 12), with a = 10.139 Å, b = 7.237 Å, c = 8.666 Å, α = 90.00°, β = 106.85° and γ = 90.00°. Symmetry generates all atoms from Pm at (0.056, 0.239, 0.210), Pm at (0.169, 0.000, 0.586), Nd at (0.223, 0.500, 0.955) and Sc at (0.000, 0.500, 0.500).

---

Record 6
ScAlOs: optimized geometry, PBE-GGA.

The calculation puts the final energy at -7.3619 eV/atom. The crystal system is orthorhombic. As for the calculated formation energy: -261 meV per atom. Its size of the total moment is 0.0 μB/f.u.

It has space group Fddd (No. 70, origin choice 2), with a = 4.728 Å, b = 8.625 Å, c = 19.282 Å, α = 90.00°, β = 90.00° and γ = 90.00°. Symmetry generates all atoms from Sc at (0.125, 0.293, 0.125), Al at (0.125, 0.125, 0.001) and Os at (0.125, 0.125, 0.556).

---

Record 7
BaIr2Rh: optimized geometry, PBE-GGA.

The calculation puts the final energy at -5.9590 eV/atom. The crystal system is trigonal. As for the calculated formation energy: 790 meV per atom. Its size of the total moment is 0.0 μB/f.u.

It has space group R-3m (No. 166, hexagonal axes), with a = 2.9471 Å, b = 2.9471 Å, c = 29.8933 Å, α = 90.00°, β = 90.00° and γ = 120.00°. Symmetry generates all atoms from Ba at (0.0000, 0.0000, 0.0000), Ir at (0.0000, 0.0000, 0.2362) and Rh at (0.0000, 0.0000, 0.5000).

---

Record 8
CsMgB2H8: optimized geometry, PBE-GGA.

The calculation puts the final energy at -3.7144 eV/atom. The crystal system is cubic. Its size of the total moment is 0.6 μB/f.u.

It has space group Fm-3m (No. 225), with a = 8.247 Å, b = 8.247 Å, c = 8.247 Å, α = 90.00°, β = 90.00° and γ = 90.00°. Symmetry generates all atoms from Cs at (0.000, 0.000, 0.000), Mg at (0.000, 0.000, 0.500), B at (0.250, 0.250, 0.250) and H at (0.163, 0.163, 0.337).

---

Record 9
Li2MgBiS: optimized geometry, PBE-GGA.

The calculation puts the final energy at -3.3684 eV/atom. The crystal system is tetragonal. Its size of the total moment is 0.0 μB/f.u.

It has space group P4/mmm (No. 123), with a = 4.654 Å, b = 4.654 Å, c = 4.975 Å, α = 90.00°, β = 90.00° and γ = 90.00°. Symmetry generates all atoms from Li at (0.000, 0.500, 0.000), Mg at (0.000, 0.000, 0.500), Bi at (0.500, 0.500, 0.500) and S at (0.000, 0.000, 0.000).

---

Record 10
Ba4DyRh3O12: optimized geometry, PBE-GGA.

The calculation puts the final energy at -6.5709 eV/atom. The crystal system is cubic. Its size of the total moment is 5.3 μB/f.u.

It has space group Im-3m (No. 229), with a = 8.314 Å, b = 8.314 Å, c = 8.314 Å, α = 90.00°, β = 90.00° and γ = 90.00°. Symmetry generates all atoms from Ba at (0.250, 0.250, 0.250), Dy at (0.000, 0.000, 0.000), Rh at (0.000, 0.000, 0.500), O at (0.000, 0.000, 0.264) and O at (0.000, 0.250, 0.500).

---

Record 11
Sc2BeC: optimized geometry, PBE-GGA.

The calculation puts the final energy at -6.1707 eV/atom. The crystal system is trigonal. As for the calculated formation energy: 233 meV per atom. Its size of the total moment is 0.0 μB/f.u.

It has space group R-3m (No. 166, hexagonal axes), with a = 3.2509 Å, b = 3.2509 Å, c = 24.1857 Å, α = 90.00°, β = 90.00° and γ = 120.00°. Symmetry generates all atoms from Sc at (0.0000, 0.0000, 0.1160), Be at (0.0000, 0.0000, 0.0000) and C at (0.0000, 0.0000, 0.5000).

---

Record 12
Dy6Er19Tm4: optimized geometry, PBE-GGA.

The calculation puts the final energy at -4.1691 eV/atom. The crystal system is cubic. As for the calculated formation energy: 389 meV per atom. Its size of the total moment is 0.0 μB/f.u.

It has space group I23 (No. 197), with a = 12.290 Å, b = 12.290 Å, c = 12.290 Å, α = 90.00°, β = 90.00° and γ = 90.00°. Symmetry generates all atoms from Dy at (0.000, 0.128, 0.500), Er at (0.000, 0.000, 0.000), Er at (0.000, 0.000, 0.261), Er at (0.064, 0.277, 0.740) and Tm at (0.179, 0.179, 0.179).